VASP calculation (GGA-PBE) on crystalline CeY2Ir9 at its relaxed geometry.

The space group is R-3m (No. 166, hexagonal axes) and the conventional cell measures 5.3242, 5.3242 and 26.3722 Å, with angles of 90.00, 90.00 and 120.00 degrees. Symmetry generates all atoms from Ce at (0.0000, 0.0000, 0.0000), Y at (0.0000, 0.0000, 0.1398), Ir at (0.0000, 0.0000, 0.3330), Ir at (0.0000, 0.0000, 0.5000) and Ir at (0.0006, 0.5003, 0.0824).

As for the energy relative to the elements: -0.60 eV/atom. The value obtained for the density of states at the Fermi level is 13.96 states/eV/f.u.